No. 1
Density functional theory data (PBE-GGA) for Na3Hg4Pd2 after structural relaxation.

Cell and atoms, written as POSCAR:
```
Na3Hg4Pd2
1.0
4.9411 -2.4335 0.0000
4.9411 2.4335 0.0000
-2.5312 0.0000 8.7630
Na Hg Pd
3 4 2
Direct
0.0000 0.0000 0.0000 Na
0.3678 0.3678 0.3047 Na
0.6322 0.6322 0.6953 Na
0.0592 0.0592 0.3540 Hg
0.2844 0.2844 0.9057 Hg
0.7156 0.7156 0.0943 Hg
0.9408 0.9408 0.6460 Hg
0.2960 0.2960 0.6048 Pd
0.7040 0.7040 0.3952 Pd
```

Computed properties:
**Polymorph energy (0 for the lowest one)**: 0.0000 eV/atom
**ΔE_f**: -0.195 eV/atom
**Total DFT energy (no corrections)**: -1.9232 eV per atom

=====

No. 2
Density functional theory data (PBE-GGA) for Na3Hg4Pd4 after structural relaxation.

Cell and atoms, written as POSCAR:
```
Na3Hg4Pd4
1.0
-2.2472 3.8368 7.1599
2.2472 -3.8368 7.1599
2.2472 3.8368 -7.1599
Na Hg Pd
3 4 4
Direct
0.0000 0.0000 0.0000 Na
0.3668 0.8668 0.5000 Na
0.6332 0.1332 0.5000 Na
0.2058 0.2058 0.0000 Hg
0.2936 0.5000 0.7936 Hg
0.7064 0.5000 0.2064 Hg
0.7942 0.7942 0.0000 Hg
0.0162 0.3139 0.7022 Pd
0.3883 0.6861 0.7022 Pd
0.6117 0.3139 0.2978 Pd
0.9838 0.6861 0.2978 Pd
```

Computed properties:
**Polymorph energy (0 for the lowest one)**: 0.0049 eV/atom
**ΔE_f**: -0.184 eV/atom
**Total DFT energy (no corrections)**: -2.5414 eV per atom

=====

No. 3
Density functional theory data (PBE-GGA) for Na5Hg4Pd2 after structural relaxation.

Cell and atoms, written as POSCAR:
```
Na5Hg4Pd2
1.0
10.8053 -1.5720 0.0000
10.8053 1.5720 0.0000
-3.6160 0.0000 8.0713
Na Hg Pd
5 4 2
Direct
0.0000 0.0000 0.0000 Na
0.3480 0.3480 0.0816 Na
0.3476 0.3476 0.6133 Na
0.6524 0.6524 0.3867 Na
0.6520 0.6520 0.9184 Na
0.2314 0.2314 0.7319 Hg
0.5001 0.5001 0.3072 Hg
0.4999 0.4999 0.6928 Hg
0.7686 0.7686 0.2681 Hg
0.0886 0.0886 0.5888 Pd
0.9114 0.9114 0.4112 Pd
```

Computed properties:
**ΔE_f**: -0.167 eV/atom
**Total DFT energy (no corrections)**: -1.8201 eV per atom

=====

No. 4
Density functional theory data (PBE-GGA) for NaHg12Pd5 after structural relaxation.

Cell and atoms, written as POSCAR:
```
NaHg12Pd5
1.0
-4.2260 4.4386 5.2569
4.2260 -4.4386 5.2569
4.2260 4.4386 -5.2569
Na Hg Pd
1 12 5
Direct
0.0000 0.0000 0.0000 Na
0.1203 0.8319 0.2884 Hg
0.2197 0.3178 0.5375 Hg
0.2197 0.6822 0.9020 Hg
0.2603 0.0728 0.8125 Hg
0.2603 0.4478 0.1875 Hg
0.4565 0.1681 0.2884 Hg
0.5435 0.8319 0.7116 Hg
0.7397 0.5522 0.8125 Hg
0.7397 0.9272 0.1875 Hg
0.7803 0.3178 0.0980 Hg
0.7803 0.6822 0.4625 Hg
0.8797 0.1681 0.7116 Hg
0.1351 0.6351 0.5000 Pd
0.5000 0.1648 0.6648 Pd
0.5000 0.5000 0.0000 Pd
0.5000 0.8352 0.3352 Pd
0.8649 0.3649 0.5000 Pd
```

Computed properties:
**ΔE_f**: -0.086 eV/atom
**Total DFT energy (no corrections)**: -1.8033 eV per atom

=====

No. 5
Density functional theory data (PBE-GGA) for Na4Hg5Pd3 after structural relaxation.

Cell and atoms, written as POSCAR:
```
Na4Hg5Pd3
1.0
5.5285 -2.6282 0.0000
5.5285 2.6282 0.0000
-1.1024 0.0000 9.6160
Na Hg Pd
4 5 3
Direct
0.1473 0.1473 0.2703 Na
0.2342 0.2342 0.9086 Na
0.7658 0.7658 0.0914 Na
0.8527 0.8527 0.7297 Na
0.1079 0.1079 0.6322 Hg
0.3647 0.3647 0.5430 Hg
0.5000 0.5000 0.0000 Hg
0.6353 0.6353 0.4570 Hg
0.8921 0.8921 0.3678 Hg
0.0000 0.0000 0.0000 Pd
0.4252 0.4252 0.2603 Pd
0.5748 0.5748 0.7397 Pd
```

Computed properties:
**ΔE_f**: -0.104 eV/atom
**Total DFT energy (no corrections)**: -1.9681 eV per atom

=====

No. 6
Density functional theory data (PBE-GGA) for NaHg5Pd after structural relaxation.

Cell and atoms, written as POSCAR:
```
NaHg5Pd
1.0
4.7982 0.0000 0.0000
0.0000 4.7982 0.0000
0.0000 0.0000 7.4016
Na Hg Pd
1 5 1
Direct
0.0000 0.0000 0.0000 Na
0.0000 0.5000 0.2903 Hg
0.0000 0.5000 0.7097 Hg
0.5000 0.0000 0.2903 Hg
0.5000 0.0000 0.7097 Hg
0.5000 0.5000 0.0000 Hg
0.0000 0.0000 0.5000 Pd
```

Computed properties:
**ΔE_f**: -0.132 eV/atom
**Total DFT energy (no corrections)**: -1.2779 eV per atom

=====

No. 7
Density functional theory data (PBE-GGA) for NaHg2Pd after structural relaxation.

Cell and atoms, written as POSCAR:
```
NaHg2Pd
1.0
2.3157 1.3370 5.2700
-2.3157 1.3370 5.2700
0.0000 -2.6739 5.2700
Na Hg Pd
1 2 1
Direct
0.0000 0.0000 0.0000 Na
0.2152 0.2152 0.2152 Hg
0.4320 0.4320 0.4320 Hg
0.8128 0.8128 0.8128 Pd
```

Computed properties:
**ΔE_f**: -0.163 eV/atom
**Total DFT energy (no corrections)**: -1.9419 eV per atom

=====

No. 8
Density functional theory data (PBE-GGA) for Na2HgPd2 after structural relaxation.

Cell and atoms, written as POSCAR:
```
Na2HgPd2
1.0
-1.8622 1.8622 8.5793
1.8622 -1.8622 8.5793
1.8622 1.8622 -8.5793
Na Hg Pd
2 1 2
Direct
0.1162 0.1162 0.0000 Na
0.8838 0.8838 0.0000 Na
0.5000 0.5000 0.0000 Hg
0.2500 0.7500 0.5000 Pd
0.7500 0.2500 0.5000 Pd
```

Computed properties:
**Polymorph energy (0 for the lowest one)**: 0.1703 eV/atom
**ΔE_f**: -0.004 eV/atom
**Total DFT energy (no corrections)**: -2.6689 eV per atom

=====

No. 9
Density functional theory data (PBE-GGA) for Na2HgPd after structural relaxation.

Cell and atoms, written as POSCAR:
```
Na2HgPd
1.0
4.5039 -3.6628 0.0000
4.5039 3.6628 0.0000
0.0000 0.0000 5.6430
Na Hg Pd
4 2 2
Direct
0.0091 0.3594 0.2500 Na
0.3594 0.0091 0.7500 Na
0.6406 0.9909 0.2500 Na
0.9909 0.6406 0.7500 Na
0.1755 0.8245 0.2500 Hg
0.8245 0.1755 0.7500 Hg
0.5000 0.5000 0.0000 Pd
0.5000 0.5000 0.5000 Pd
```

Computed properties:
**ΔE_f**: -0.194 eV/atom
**Total DFT energy (no corrections)**: -2.2269 eV per atom

=====

No. 10
Density functional theory data (PBE-GGA) for Na6Hg10Pd after structural relaxation.

Cell and atoms, written as POSCAR:
```
Na6Hg10Pd
1.0
9.0450 0.0000 0.0000
-4.5225 7.8332 0.0000
0.0000 0.0000 6.1325
Na Hg Pd
6 10 1
Direct
0.0000 0.3889 0.2609 Na
0.0000 0.6111 0.7391 Na
0.3889 0.0000 0.2609 Na
0.3889 0.3889 0.7391 Na
0.6111 0.0000 0.7391 Na
0.6111 0.6111 0.2609 Na
0.0000 0.2457 0.7815 Hg
0.0000 0.7543 0.2185 Hg
0.2457 0.0000 0.7815 Hg
0.2457 0.2457 0.2185 Hg
0.3333 0.6667 0.0000 Hg
0.3333 0.6667 0.5000 Hg
0.6667 0.3333 0.0000 Hg
0.6667 0.3333 0.5000 Hg
0.7543 0.0000 0.2185 Hg
0.7543 0.7543 0.7815 Hg
0.0000 0.0000 0.5000 Pd
```

Computed properties:
**ΔE_f**: -0.185 eV/atom
**Total DFT energy (no corrections)**: -1.1336 eV per atom

=====

No. 11
Density functional theory data (PBE-GGA) for NaHgPd2 after structural relaxation.

Cell and atoms, written as POSCAR:
```
NaHgPd2
1.0
-3.1438 3.1438 6.1908
3.1438 -3.1438 6.1908
3.1438 3.1438 -6.1908
Na Hg Pd
2 2 4
Direct
0.0000 0.0000 0.0000 Na
0.7500 0.2500 0.5000 Na
0.2500 0.7500 0.5000 Hg
0.5000 0.5000 0.0000 Hg
0.1453 0.6250 0.0203 Pd
0.3750 0.3953 0.5203 Pd
0.6047 0.1250 0.9797 Pd
0.8750 0.8547 0.4797 Pd
```

Computed properties:
**ΔE_f**: 0.625 eV/atom
**Total DFT energy (no corrections)**: -2.3770 eV per atom

=====

No. 12
Density functional theory data (PBE-GGA) for Na4HgPd after structural relaxation.

Cell and atoms, written as POSCAR:
```
Na4HgPd
1.0
2.9669 -8.5558 0.0000
2.9669 8.5558 0.0000
-0.1895 0.0000 5.6423
Na Hg Pd
8 2 2
Direct
0.0450 0.4515 0.2572 Na
0.2080 0.2647 0.1126 Na
0.2647 0.2080 0.6126 Na
0.4515 0.0450 0.7572 Na
0.5485 0.9550 0.2428 Na
0.7353 0.7920 0.3874 Na
0.7920 0.7353 0.8874 Na
0.9550 0.5485 0.7428 Na
0.3682 0.6318 0.7500 Hg
0.6318 0.3682 0.2500 Hg
0.1337 0.8663 0.2500 Pd
0.8663 0.1337 0.7500 Pd
```

Computed properties:
**Polymorph energy (0 for the lowest one)**: 0.0523 eV/atom
**ΔE_f**: -0.092 eV/atom
**Total DFT energy (no corrections)**: -1.8874 eV per atom

=====

No. 13
Density functional theory data (PBE-GGA) for NaHg3Pd after structural relaxation.

Cell and atoms, written as POSCAR:
```
NaHg3Pd
1.0
-2.8801 2.8801 9.2407
2.8801 -2.8801 9.2407
2.8801 2.8801 -9.2407
Na Hg Pd
2 6 2
Direct
0.2032 0.2032 0.0000 Na
0.7968 0.7968 0.0000 Na
0.3722 0.1263 0.7541 Hg
0.3722 0.6180 0.2459 Hg
0.3820 0.6278 0.7541 Hg
0.5308 0.0308 0.5000 Hg
0.8737 0.6278 0.2459 Hg
0.9692 0.4692 0.5000 Hg
0.2500 0.7500 0.5000 Pd
0.5000 0.5000 0.0000 Pd
```

Computed properties:
**Polymorph energy (0 for the lowest one)**: 0.0670 eV/atom
**ΔE_f**: -0.101 eV/atom
**Total DFT energy (no corrections)**: -1.5849 eV per atom

=====

No. 14
Density functional theory data (PBE-GGA) for NaHg6Pd6 after structural relaxation.

Cell and atoms, written as POSCAR:
```
NaHg6Pd6
1.0
-2.8481 4.6238 4.9194
2.8481 -4.6238 4.9194
2.8481 4.6238 -4.9194
Na Hg Pd
1 6 6
Direct
0.0000 0.0000 0.0000 Na
0.1695 0.6695 0.5000 Hg
0.3168 0.0000 0.3168 Hg
0.3350 0.3350 0.0000 Hg
0.6650 0.6650 0.0000 Hg
0.6832 0.0000 0.6832 Hg
0.8305 0.3305 0.5000 Hg
0.0000 0.0000 0.5000 Pd
0.0000 0.5000 0.0000 Pd
0.2488 0.5000 0.7488 Pd
0.5000 0.0000 0.0000 Pd
0.5000 0.5000 0.5000 Pd
0.7512 0.5000 0.2512 Pd
```

Computed properties:
**ΔE_f**: -0.222 eV/atom
**Total DFT energy (no corrections)**: -2.8599 eV per atom

=====

No. 15
Density functional theory data (PBE-GGA) for Na8HgPd2 after structural relaxation.

Cell and atoms, written as POSCAR:
```
Na8HgPd2
1.0
8.2397 -2.4642 0.0000
8.2397 2.4642 0.0000
-3.1265 0.0000 7.0265
Na Hg Pd
8 1 2
Direct
0.0326 0.0326 0.2312 Na
0.1695 0.1695 0.7392 Na
0.3236 0.3236 0.5840 Na
0.3716 0.3716 0.0470 Na
0.6284 0.6284 0.9530 Na
0.6764 0.6764 0.4160 Na
0.8305 0.8305 0.2608 Na
0.9674 0.9674 0.7688 Na
0.5000 0.5000 0.5000 Hg
0.2018 0.2018 0.1719 Pd
0.7982 0.7982 0.8281 Pd
```

Computed properties:
**ΔE_f**: -0.070 eV/atom
**Total DFT energy (no corrections)**: -2.0009 eV per atom

=====

No. 16
Density functional theory data (PBE-GGA) for Na2HgPd2 after structural relaxation.

Cell and atoms, written as POSCAR:
```
Na2HgPd2
1.0
-2.3037 2.7826 4.3400
2.3037 -2.7826 4.3400
2.3037 2.7826 -4.3400
Na Hg Pd
2 1 2
Direct
0.1979 0.1979 0.0000 Na
0.8021 0.8021 0.0000 Na
0.5000 0.0000 0.5000 Hg
0.2380 0.5000 0.7380 Pd
0.7620 0.5000 0.2620 Pd
```

Computed properties:
**Polymorph energy (0 for the lowest one)**: 0.0004 eV/atom
**ΔE_f**: -0.174 eV/atom
**Total DFT energy (no corrections)**: -2.8389 eV per atom

=====

No. 17
Density functional theory data (PBE-GGA) for NaHg2Pd after structural relaxation.

Cell and atoms, written as POSCAR:
```
NaHg2Pd
1.0
3.5940 0.0000 0.0000
0.0000 3.5940 0.0000
0.0000 0.0000 6.4418
Na Hg Pd
1 2 1
Direct
0.0000 0.0000 0.0000 Na
0.5000 0.5000 0.2702 Hg
0.5000 0.5000 0.7298 Hg
0.0000 0.0000 0.5000 Pd
```

Computed properties:
**ΔE_f**: -0.166 eV/atom
**Total DFT energy (no corrections)**: -1.9452 eV per atom

=====

No. 18
Density functional theory data (PBE-GGA) for Na2HgPd2 after structural relaxation.

Cell and atoms, written as POSCAR:
```
Na2HgPd2
1.0
-1.9040 1.9040 7.0123
1.9040 -1.9040 7.0123
1.9040 1.9040 -7.0123
Na Hg Pd
2 1 2
Direct
0.2500 0.7500 0.5000 Na
0.7500 0.2500 0.5000 Na
0.0000 0.0000 0.0000 Hg
0.4060 0.4060 0.0000 Pd
0.5940 0.5940 0.0000 Pd
```

Computed properties:
**Polymorph energy (0 for the lowest one)**: 0.3339 eV/atom
**ΔE_f**: 0.160 eV/atom
**Total DFT energy (no corrections)**: -2.5054 eV per atom

=====

No. 19
Density functional theory data (PBE-GGA) for Na5Hg2Pd after structural relaxation.

Cell and atoms, written as POSCAR:
```
Na5Hg2Pd
1.0
5.0343 0.0000 0.0000
-2.5172 4.3598 0.0000
0.0000 0.0000 20.4211
Na Hg Pd
10 4 2
Direct
0.0000 0.0000 0.1702 Na
0.0000 0.0000 0.3298 Na
0.0000 0.0000 0.6702 Na
0.0000 0.0000 0.8298 Na
0.3333 0.6667 0.0452 Na
0.3333 0.6667 0.2500 Na
0.3333 0.6667 0.4548 Na
0.6667 0.3333 0.5452 Na
0.6667 0.3333 0.7500 Na
0.6667 0.3333 0.9548 Na
0.3333 0.6667 0.6152 Hg
0.3333 0.6667 0.8848 Hg
0.6667 0.3333 0.1152 Hg
0.6667 0.3333 0.3848 Hg
0.3333 0.6667 0.7500 Pd
0.6667 0.3333 0.2500 Pd
```

Computed properties:
**Polymorph energy (0 for the lowest one)**: 0.0000 eV/atom
**ΔE_f**: -0.172 eV/atom
**Total DFT energy (no corrections)**: -1.7214 eV per atom

=====

No. 20
Density functional theory data (PBE-GGA) for NaHg6Pd5 after structural relaxation.

Cell and atoms, written as POSCAR:
```
NaHg6Pd5
1.0
8.0350 0.0000 0.0000
-4.0175 6.9585 0.0000
0.0000 0.0000 8.5260
Na Hg Pd
2 12 10
Direct
0.0000 0.0000 0.2500 Na
0.0000 0.0000 0.7500 Na
0.0000 0.3260 0.0851 Hg
0.0000 0.3260 0.4149 Hg
0.0000 0.6740 0.5851 Hg
0.0000 0.6740 0.9149 Hg
0.3260 0.0000 0.0851 Hg
0.3260 0.0000 0.4149 Hg
0.3260 0.3260 0.5851 Hg
0.3260 0.3260 0.9149 Hg
0.6740 0.0000 0.5851 Hg
0.6740 0.0000 0.9149 Hg
0.6740 0.6740 0.0851 Hg
0.6740 0.6740 0.4149 Hg
0.0000 0.3555 0.7500 Pd
0.0000 0.6445 0.2500 Pd
0.3333 0.6667 0.0000 Pd
0.3333 0.6667 0.5000 Pd
0.3555 0.0000 0.7500 Pd
0.3555 0.3555 0.2500 Pd
0.6445 0.0000 0.2500 Pd
0.6445 0.6445 0.7500 Pd
0.6667 0.3333 0.0000 Pd
0.6667 0.3333 0.5000 Pd
```

Computed properties:
**Polymorph energy (0 for the lowest one)**: 0.1034 eV/atom
**ΔE_f**: -0.010 eV/atom
**Total DFT energy (no corrections)**: -2.4341 eV per atom